{"formula": "KGe2WF", "functional": "PBE+U", "state": "relaxed", "spacegroup": "P4/mmm", "total_energy_ev_per_atom": -2.95, "total_magnetization_mub_per_cell": 3.70, "rho_g_cm3": 4.79, "lattice": [[-0.872, -5.370, 1.227], [4.261, -0.655, 0.162], [-0.016, 1.244, 5.436]], "species": ["K", "F", "Ge", "W", "Ge"], "fractional_positions": [[0.000, 0.000, 0.000], [0.000, 0.500, 0.000], [0.500, 0.000, 0.000], [0.500, 0.500, 0.500], [0.000, 0.000, 0.500]]}